# PBE NbSbH2Rh, relaxed
data_NbSbH2Rh
_chemical_formula_sum 'Nb1 Sb1 H2 Rh1'
_cell_length_a 3.742
_cell_length_b 3.742
_cell_length_c 5.571
_cell_angle_alpha 90.00
_cell_angle_beta 90.00
_cell_angle_gamma 90.00
_space_group_name_H-M_alt 'P 4/m m m'
_space_group_IT_number 123
_space_group_name_Hall '-P 4 2'
loop_
_atom_site_label
_atom_site_type_symbol
_atom_site_fract_x
_atom_site_fract_y
_atom_site_fract_z
Nb1 Nb 0.000 0.000 0.000
Sb1 Sb 0.500 0.500 0.500
H1 H 0.000 0.500 0.500
Rh1 Rh 0.500 0.500 0.000
# - VASP energy (eV/atom) = -5.022
# - volume (A^3/atom) = 15.6

---

# PBE Nb2SbHRh, relaxed
data_Nb2SbHRh
_chemical_formula_sum 'Nb2 Sb1 H1 Rh1'
_cell_length_a 4.018
_cell_length_b 4.018
_cell_length_c 4.518
_cell_angle_alpha 90.00
_cell_angle_beta 90.00
_cell_angle_gamma 90.00
_space_group_name_H-M_alt 'P 4/m m m'
_space_group_IT_number 123
_space_group_name_Hall '-P 4 2'
loop_
_atom_site_label
_atom_site_type_symbol
_atom_site_fract_x
_atom_site_fract_y
_atom_site_fract_z
Nb1 Nb 0.000 0.500 0.000
Sb1 Sb 0.000 0.000 0.500
H1 H 0.500 0.500 0.000
Rh1 Rh 0.500 0.500 0.500
# - VASP energy (eV/atom) = -7.240
# - volume (A^3/atom) = 14.6

---

# PBE NbSbHRh2, relaxed
data_NbSbHRh2
_chemical_formula_sum 'Nb1 Sb1 H1 Rh2'
_cell_length_a 4.032
_cell_length_b 4.032
_cell_length_c 4.241
_cell_angle_alpha 90.00
_cell_angle_beta 90.00
_cell_angle_gamma 90.00
_space_group_name_H-M_alt 'P 4/m m m'
_space_group_IT_number 123
_space_group_name_Hall '-P 4 2'
loop_
_atom_site_label
_atom_site_type_symbol
_atom_site_fract_x
_atom_site_fract_y
_atom_site_fract_z
Nb1 Nb 0.000 0.000 0.000
Sb1 Sb 0.500 0.500 0.000
H1 H 0.000 0.000 0.500
Rh1 Rh 0.000 0.500 0.500
# - VASP energy (eV/atom) = -6.694
# - volume (A^3/atom) = 13.8

---

# PBE NbSiHRh2, relaxed
data_NbSiHRh2
_chemical_formula_sum 'Nb1 Si1 H1 Rh2'
_cell_length_a 3.885
_cell_length_b 3.885
_cell_length_c 4.101
_cell_angle_alpha 90.00
_cell_angle_beta 90.00
_cell_angle_gamma 90.00
_space_group_name_H-M_alt 'P 4/m m m'
_space_group_IT_number 123
_space_group_name_Hall '-P 4 2'
loop_
_atom_site_label
_atom_site_type_symbol
_atom_site_fract_x
_atom_site_fract_y
_atom_site_fract_z
Nb1 Nb 0.000 0.000 0.000
Si1 Si 0.500 0.500 0.000
H1 H 0.000 0.000 0.500
Rh1 Rh 0.000 0.500 0.500
# - VASP energy (eV/atom) = -7.022
# - volume (A^3/atom) = 12.4

---

# PBE NbSnHRh2, relaxed
data_NbSnHRh2
_chemical_formula_sum 'Nb1 Sn1 H1 Rh2'
_cell_length_a 4.073
_cell_length_b 4.073
_cell_length_c 4.162
_cell_angle_alpha 90.00
_cell_angle_beta 90.00
_cell_angle_gamma 90.00
_space_group_name_H-M_alt 'P 4/m m m'
_space_group_IT_number 123
_space_group_name_Hall '-P 4 2'
loop_
_atom_site_label
_atom_site_type_symbol
_atom_site_fract_x
_atom_site_fract_y
_atom_site_fract_z
Nb1 Nb 0.000 0.000 0.000
Sn1 Sn 0.500 0.500 0.000
H1 H 0.000 0.000 0.500
Rh1 Rh 0.000 0.500 0.500
# - VASP energy (eV/atom) = -6.665
# - volume (A^3/atom) = 13.8

---

# PBE Nb2SnHRh, relaxed
data_Nb2SnHRh
_chemical_formula_sum 'Nb2 Sn1 H1 Rh1'
_cell_length_a 4.054
_cell_length_b 4.054
_cell_length_c 4.439
_cell_angle_alpha 90.00
_cell_angle_beta 90.00
_cell_angle_gamma 90.00
_space_group_name_H-M_alt 'P 4/m m m'
_space_group_IT_number 123
_space_group_name_Hall '-P 4 2'
loop_
_atom_site_label
_atom_site_type_symbol
_atom_site_fract_x
_atom_site_fract_y
_atom_site_fract_z
Nb1 Nb 0.000 0.500 0.000
Sn1 Sn 0.000 0.000 0.500
H1 H 0.500 0.500 0.000
Rh1 Rh 0.500 0.500 0.500
# - VASP energy (eV/atom) = -7.245
# - volume (A^3/atom) = 14.6

---

# PBE SrNbHRh2, relaxed
data_SrNbHRh2
_chemical_formula_sum 'Sr1 Nb1 H1 Rh2'
_cell_length_a 4.828
_cell_length_b 4.828
_cell_length_c 3.496
_cell_angle_alpha 90.00
_cell_angle_beta 90.00
_cell_angle_gamma 90.00
_space_group_name_H-M_alt 'P 4/m m m'
_space_group_IT_number 123
_space_group_name_Hall '-P 4 2'
loop_
_atom_site_label
_atom_site_type_symbol
_atom_site_fract_x
_atom_site_fract_y
_atom_site_fract_z
Sr1 Sr 0.000 0.000 0.000
Nb1 Nb 0.500 0.500 0.000
H1 H 0.500 0.500 0.500
Rh1 Rh 0.000 0.500 0.500
# - VASP energy (eV/atom) = -5.765
# - volume (A^3/atom) = 16.3

---

# PBE TaNbHRh2, relaxed
data_TaNbHRh2
_chemical_formula_sum 'Ta1 Nb1 H1 Rh2'
_cell_length_a 3.995
_cell_length_b 3.995
_cell_length_c 4.122
_cell_angle_alpha 90.00
_cell_angle_beta 90.00
_cell_angle_gamma 90.00
_space_group_name_H-M_alt 'P 4/m m m'
_space_group_IT_number 123
_space_group_name_Hall '-P 4 2'
loop_
_atom_site_label
_atom_site_type_symbol
_atom_site_fract_x
_atom_site_fract_y
_atom_site_fract_z
Ta1 Ta 0.000 0.000 0.000
Nb1 Nb 0.500 0.500 0.000
H1 H 0.500 0.500 0.500
Rh1 Rh 0.000 0.500 0.500
# - VASP energy (eV/atom) = -8.349
# - volume (A^3/atom) = 13.2